[1]
DFT (PBE) results for Sm2ErZn3Pt4 after structural relaxation.

Results
Its uncorrected energy is -5.040 eV/atom. Its calculated formation energy is -841.8 meV per atom. The volume is 201.5 Å³/cell.

a = 4.1478 Å, b = 4.1478 Å, c = 11.7117 Å
α = 90.00°, β = 90.00°, γ = 90.00°
Closest atoms and distances in Å follow each position.
Atoms (fractional coordinates):
Sm (0.0000, 0.5000, 0.2247)  4 Zn 3.15, 8 Pt 3.24-3.35
Sm (0.5000, 0.0000, 0.7753)  4 Zn 3.15, 8 Pt 3.24-3.35
Er (0.0000, 0.0000, 0.5000)  4 Pt 2.78, 4 Zn 2.93
Zn (0.0000, 0.5000, 0.8728)  5 Pt 2.52-2.55
Zn (0.5000, 0.0000, 0.1272)  5 Pt 2.52-2.55
Zn (0.5000, 0.5000, 0.5000)  4 Pt 2.78, 4 Er 2.93
Pt (0.0000, 0.0000, 0.0000)  4 Zn 2.55
Pt (0.0000, 0.5000, 0.6580)  3 Zn 2.52-2.78, 2 Er 2.78
Pt (0.5000, 0.0000, 0.3420)  3 Zn 2.52-2.78, 2 Er 2.78
Pt (0.5000, 0.5000, 0.0000)  4 Zn 2.55

[2]
DFT (PBE) results for SmErZnPt after structural relaxation.

Results
The offset from the most stable computed form is 22.5 meV per atom. Its uncorrected energy is -4.908 eV/atom. Its calculated formation energy is -758.8 meV per atom. The volume is 89.2 Å³/cell.

a = 5.0159 Å, b = 5.0159 Å, c = 5.0159 Å
α = 60.00°, β = 60.00°, γ = 60.00°
Closest atoms and distances in Å follow each position.
Atoms (fractional coordinates):
Sm (0.0000, 0.0000, 0.0000)  4 Pt 3.07, 4 Zn 3.07
Er (0.5000, 0.5000, 0.5000)  4 Zn 3.07, 4 Pt 3.07
Zn (0.7500, 0.7500, 0.7500)  4 Er 3.07, 4 Sm 3.07
Pt (0.2500, 0.2500, 0.2500)  4 Er 3.07, 4 Sm 3.07